# Pm3Cd9Hg2

A relaxed Pm3Cd9Hg2 crystal (GGA-PBE, Alexandria via LeMat-Bulk). Values from VASP.

Quantum ESPRESSO input file:
```
&SYSTEM
  ibrav = 0, nat = 14, ntyp = 3
/
ATOMIC_SPECIES
Pm 145.00 Pm.upf
Cd 112.41 Cd.upf
Hg 200.59 Hg.upf
ATOMIC_POSITIONS crystal
Pm 0.000 0.000 0.000
Pm 0.294 0.294 0.000
Pm 0.706 0.706 0.000
Cd 0.016 0.643 0.373
Cd 0.127 0.853 0.275
Cd 0.270 0.643 0.627
Cd 0.422 0.147 0.275
Cd 0.500 0.000 0.500
Cd 0.578 0.853 0.725
Cd 0.730 0.357 0.373
Cd 0.873 0.147 0.725
Cd 0.984 0.357 0.627
Hg 0.332 0.500 0.832
Hg 0.668 0.500 0.168
CELL_PARAMETERS angstrom
-2.417 5.486 6.545
2.417 -5.486 6.545
2.417 5.486 -6.545
```

VASP energy = -1.896 eV/atom
volume = 24.8 Å³/atom
calculated formation energy = -0.246 eV per atom
Fermi-level density of states = 8.46 states/eV/f.u.
space group = Immm, No. 71
total magnetic moment = 0.00 μB/cell


# BaAcGaN2

A relaxed BaAcGaN2 crystal (GGA-PBE, Alexandria via LeMat-Bulk). Values from VASP.

Quantum ESPRESSO input file:
```
&SYSTEM
  ibrav = 0, nat = 10, ntyp = 4
/
ATOMIC_SPECIES
Ba 137.33 Ba.upf
Ac 227.00 Ac.upf
Ga 69.72 Ga.upf
N 14.01 N.upf
ATOMIC_POSITIONS crystal
Ba 0.000 0.001 0.250
Ba 0.000 0.999 0.750
Ac 0.500 0.500 0.250
Ac 0.500 0.500 0.750
Ga 0.500 0.000 0.000
Ga 0.500 0.000 0.500
N 0.302 0.258 0.500
N 0.302 0.742 0.000
N 0.698 0.258 0.000
N 0.698 0.742 0.500
CELL_PARAMETERS angstrom
5.931 0.000 0.000
0.000 5.658 0.000
-0.004 0.000 7.556
```

VASP energy = -5.521 eV/atom
volume = 25.4 Å³/atom
Fermi-level density of states = 3.66 states/eV/f.u.
space group = P2/c, No. 13
total magnetic moment = 0.00 μB/cell


# Zr2AlSe

A relaxed Zr2AlSe crystal (GGA-PBE, Alexandria via LeMat-Bulk). Values from VASP.

Quantum ESPRESSO input file:
```
&SYSTEM
  ibrav = 0, nat = 4, ntyp = 3
/
ATOMIC_SPECIES
Zr 91.22 Zr.upf
Al 26.98 Al.upf
Se 78.96 Se.upf
ATOMIC_POSITIONS crystal
Zr 0.000 0.000 0.000
Zr 0.500 0.500 0.274
Al 0.000 0.000 0.431
Se 0.500 0.500 0.863
CELL_PARAMETERS angstrom
3.664 0.000 0.000
0.000 3.664 0.000
0.000 0.000 6.978
```

VASP energy = -6.611 eV/atom
volume = 23.4 Å³/atom
Fermi-level density of states = 3.57 states/eV/f.u.
energy relative to the lowest polymorph listed for this composition = 162 meV/atom
space group = P4mm, No. 99
total magnetic moment = 0.00 μB/cell


# MnSb2As

A relaxed MnSb2As crystal (GGA-PBE, Alexandria via LeMat-Bulk). Values from VASP.

Quantum ESPRESSO input file:
```
&SYSTEM
  ibrav = 0, nat = 4, ntyp = 3
/
ATOMIC_SPECIES
Mn 54.94 Mn.upf
Sb 121.76 Sb.upf
As 74.92 As.upf
ATOMIC_POSITIONS crystal
Mn 0.000 0.000 0.000
Sb 0.388 0.500 0.852
Sb 0.632 0.000 0.453
As 0.026 0.500 0.327
CELL_PARAMETERS angstrom
4.450 0.000 0.000
0.000 3.848 0.000
-2.172 0.000 5.216
```

VASP energy = -5.361 eV/atom
volume = 22.3 Å³/atom
Fermi-level density of states = 1.66 states/eV/f.u.
space group = Pm, No. 6
total magnetic moment = 3.63 μB/cell